First-principles (PBE) data for an optimized crystal structure of IrRh2C, as listed in Alexandria.

Values from the calculation:
crystal system	tetragonal

Lattice parameters (Å, degrees): 6.390 6.390 5.188 51.99 51.99 90.00
Fractional coordinates of all 8 atoms:
Rh 0.375 0.469 0.750
Rh 0.219 0.625 0.250
Rh 0.875 0.781 0.750
Rh 0.531 0.125 0.250
Ir 0.750 0.250 0.500
Ir 0.000 0.000 0.000
C 0.250 0.750 0.500
C 0.500 0.500 0.000


First-principles (PBE) data for an optimized crystal structure of Ir2Rh2C, as listed in Alexandria.

Values from the calculation:
crystal system	tetragonal
ΔE to the lowest computed polymorph	106.7	kJ/mol of atoms

Lattice parameters (Å, degrees): 3.486 3.486 6.786 75.12 75.12 90.00
Fractional coordinates of all 5 atoms:
C 0.000 0.000 0.000
Ir 0.404 0.404 0.192
Ir 0.596 0.596 0.808
Rh 0.750 0.250 0.500
Rh 0.250 0.750 0.500


First-principles (PBE) data for an optimized crystal structure of IrRh3C, as listed in Alexandria.

Values from the calculation:
crystal system	cubic
ΔE to the lowest computed polymorph	215.0	kJ/mol of atoms

Lattice parameters (Å, degrees): 4.718 4.718 4.718 90.00 90.00 90.00
Fractional coordinates of all 5 atoms:
Ir 0.000 0.000 0.000
C 0.500 0.500 0.500
Rh 0.000 0.000 0.500
Rh 0.000 0.500 0.000
Rh 0.500 0.000 0.000


First-principles (PBE) data for an optimized crystal structure of IrRhC3, as listed in Alexandria.

Values from the calculation:
crystal system	cubic
ΔE to the lowest computed polymorph	41.2	kJ/mol of atoms

Lattice parameters (Å, degrees): 3.926 3.926 3.926 90.00 90.00 90.00
Fractional coordinates of all 5 atoms:
C 0.500 0.000 0.000
C 0.000 0.500 0.000
C 0.000 0.000 0.500
Rh 0.000 0.000 0.000
Ir 0.500 0.500 0.500


First-principles (PBE) data for an optimized crystal structure of Ir2RhC2, as listed in Alexandria.

Values from the calculation:
crystal system	tetragonal
ΔE to the lowest computed polymorph	58.3	kJ/mol of atoms

Lattice parameters (Å, degrees): 6.613 6.613 2.683 90.00 90.00 90.00
Fractional coordinates of all 10 atoms:
Ir 0.859 0.641 0.000
Ir 0.359 0.859 0.000
Ir 0.641 0.141 0.000
Ir 0.141 0.359 0.000
C 0.633 0.867 0.500
C 0.367 0.133 0.500
C 0.133 0.633 0.500
C 0.867 0.367 0.500
Rh 0.500 0.500 0.000
Rh 0.000 0.000 0.000


First-principles (PBE) data for an optimized crystal structure of Ir2RhC2, as listed in Alexandria.

Values from the calculation:
crystal system	tetragonal
ΔE to the lowest computed polymorph	0.0	kJ/mol of atoms

Lattice parameters (Å, degrees): 3.343 3.343 5.863 73.44 73.44 90.00
Fractional coordinates of all 5 atoms:
Ir 0.361 0.361 0.279
Ir 0.639 0.639 0.721
C 0.750 0.250 0.500
C 0.250 0.750 0.500
Rh 0.000 0.000 0.000


no.,energy of formation from the pure elements (kcal/mol of atoms)
1,12.10
2,36.68
3,61.29
4,59.62
5,34.53
6,20.60